#1
A plane-wave DFT calculation with PBE was carried out for a relaxed structure of PaCuAg.

Lattice parameters (Å, degrees): 3.0831 4.6714 4.6714 120.00 90.00 90.00
With the nearest neighbours (Å) after each atom.
Fractional positions:
Cu  0.1665  0.0000  0.0000  3 Ag 2.70
Ag  0.1668  0.6667  0.3333  3 Cu 2.70
Pa  0.6668  0.3333  0.6667  2 Pa 3.08, 6 Cu 3.11, 6 Ag 3.11

Its magnetization is 0.00 μB per formula unit. As for the space group: P-6m2 (187).

***

#2
A plane-wave DFT calculation with PBE was carried out for a relaxed structure of PaCuAg.

Lattice parameters (Å, degrees): 3.1409 3.1409 6.1512 104.79 104.79 90.00
With the nearest neighbours (Å) after each atom.
Fractional positions:
Ag  0.3115  0.3115  0.6231  4 Cu 2.70
Pa  0.0110  0.0110  0.0220  4 Cu 2.93, 4 Pa 3.14, 4 Ag 3.19
Cu  0.6775  0.6775  0.3549  4 Ag 2.70, 4 Pa 2.93

Its magnetization is 0.00 μB per formula unit. As for the space group: I4mm (107).

***

#3
A plane-wave DFT calculation with PBE was carried out for a relaxed structure of PaCuAg.

Lattice parameters (Å, degrees): 3.4329 3.4329 10.2993 90.00 90.00 90.00
With the nearest neighbours (Å) after each atom.
Fractional positions:
Pa  0.5000  0.0000  0.2352  4 Cu 2.97, 4 Ag 3.13
Cu  0.0000  0.0000  0.0000  4 Cu 2.43
Pa  0.0000  0.5000  0.7648  4 Cu 2.97, 4 Ag 3.13
Cu  0.5000  0.5000  0.0000  4 Cu 2.43
Ag  0.0000  0.5000  0.4272  4 Ag 2.85, 4 Pa 3.13
Ag  0.5000  0.0000  0.5728  4 Ag 2.85, 4 Pa 3.13

Its magnetization is 1.09 μB per formula unit. As for the space group: P4/nmm (129).

***

Most stable structure, least stable structure: #1, #3.